PmAsPtRh | PBE | optimized geometry

Lattice parameters (Å, degrees): 3.990 3.990 9.717 90.00 90.00 90.00
Space group P4/nmm (No. 129, origin choice 2)
Symmetry-distinct sites (fractional):
Pm: 0.250 0.250 0.219 x2
As: 0.250 0.250 0.652 x2
Pt: 0.250 0.250 0.916 x2
Rh: 0.250 0.750 0.500 x2

Results
Total magnetic moment ... 0.0000 μB/atom
Formation energy ... -0.93 eV/atom

***

Pm2As3Pt4Rh | PBE | optimized geometry

Lattice parameters (Å, degrees): 4.288 4.288 10.546 90.00 90.00 90.00
Space group P-4m2 (No. 115)
Symmetry-distinct sites (fractional):
Pm: 0.000 0.500 0.250 x2
As: 0.000 0.000 0.000 x1
As: 0.000 0.500 0.631 x2
Pt: 0.000 0.000 0.500 x1
Pt: 0.000 0.500 0.858 x2
Pt: 0.500 0.500 0.500 x1
Rh: 0.500 0.500 0.000 x1

Results
Total magnetic moment ... 0.0000 μB/atom
Formation energy ... -0.74 eV/atom

***

Pm2As4Pt3Rh | PBE | optimized geometry

Lattice parameters (Å, degrees): 4.398 4.398 10.027 90.00 90.00 90.00
Space group P-4m2 (No. 115)
Symmetry-distinct sites (fractional):
Pm: 0.000 0.500 0.247 x2
As: 0.000 0.000 0.500 x1
As: 0.000 0.500 0.870 x2
As: 0.500 0.500 0.500 x1
Pt: 0.000 0.000 0.000 x1
Pt: 0.000 0.500 0.625 x2
Rh: 0.500 0.500 0.000 x1

Results
Total magnetic moment ... 0.0000 μB/atom
Formation energy ... -0.87 eV/atom

***

Pm2As4RuPt3 | PBE | optimized geometry

Lattice parameters (Å, degrees): 4.177 4.177 10.949 90.00 90.00 90.00
Space group P-4m2 (No. 115)
Symmetry-distinct sites (fractional):
Pm: 0.000 0.500 0.236 x2
As: 0.000 0.000 0.500 x1
As: 0.000 0.500 0.866 x2
As: 0.500 0.500 0.500 x1
Ru: 0.500 0.500 0.000 x1
Pt: 0.000 0.000 0.000 x1
Pt: 0.000 0.500 0.643 x2

Results
Total magnetic moment ... 0.0000 μB/atom
Formation energy ... -0.82 eV/atom

***

Pm4AsPtS2 | PBE | optimized geometry

Lattice parameters (Å, degrees): 7.184 4.100 7.212 90.00 109.14 90.00
Space group P2/m (No. 10)
Symmetry-distinct sites (fractional):
Pm: 0.247 0.000 0.251 x2
Pm: 0.249 0.500 0.745 x2
As: 0.500 0.000 0.000 x1
Pt: 0.000 0.500 0.000 x1
S: 0.000 0.000 0.500 x1
S: 0.500 0.500 0.500 x1

Results
ΔE_f (raw) ... -157 kJ per mole of atoms
Total magnetic moment ... 0.0000 μB/atom

***

Pm6As3PtS2 | PBE | optimized geometry

Lattice parameters (Å, degrees): 18.164 4.168 8.325 90.00 102.76 90.00
Space group C2/m (No. 12)
Symmetry-distinct sites (fractional):
Pm: 0.001 0.000 0.250 x4
Pm: 0.168 0.500 0.087 x4
Pm: 0.168 0.500 0.582 x4
As: 0.000 0.500 0.500 x2
As: 0.167 0.000 0.832 x4
Pt: 0.000 0.500 0.000 x2
S: 0.168 0.000 0.336 x4

Results
ΔE_f (raw) ... -156 kJ per mole of atoms
Total magnetic moment ... 0.0000 μB/atom